DFT (PBE) results for a geometry-optimized TlAs2SeO structure.

## Properties
E_tot	-0.17831	Ry per atom
total moment	0.622	μB/f.u.
SG	P4/mmm (123)
D(E_F)	12.1	states/eV per cell

Cell: 5.3853 5.3853 5.2857 Å, 90.00 90.00 90.00°
Closest atoms and distances in Å follow each position.
Atoms (fractional coordinates):
Tl1 0.0000 0.0000 0.0000  2 Se 2.64, 4 As 2.69
As1 0.0000 0.5000 0.0000  2 Tl 2.69
As2 0.5000 0.0000 0.0000  2 Tl 2.69
Se1 0.0000 0.0000 0.5000  2 Tl 2.64
O1 0.5000 0.5000 0.5000  8 As 3.77, 4 Se 3.81